1.
# LaCeAl4 | Alexandria | meta-GGA SCAN | single point on PBEsol structure
data_LaCeAl4
_chemical_formula_sum 'La1 Ce1 Al4'
_cell_length_a 5.632
_cell_length_b 5.632
_cell_length_c 5.632
_cell_angle_alpha 60.00
_cell_angle_beta 60.00
_cell_angle_gamma 60.00
_symmetry_space_group_name_H-M 'P 1'
_symmetry_Int_Tables_number 1
loop_
_symmetry_equiv_pos_as_xyz
'x,y,z'
loop_
_atom_site_label
_atom_site_type_symbol
_atom_site_fract_x
_atom_site_fract_y
_atom_site_fract_z
Al1 Al 0.376 0.376 0.873
Al2 Al 0.873 0.376 0.376
Al3 Al 0.376 0.376 0.376
Al4 Al 0.376 0.873 0.376
Ce1 Ce 0.750 0.750 0.750
La1 La 0.000 0.000 0.000
# DFT total energy: -20.273 eV/atom
# Space group: F-43m (216)
# Calculated formation energy: -0.4938 eV/atom

2.
# KSc2Au | Alexandria | meta-GGA SCAN | single point on PBEsol structure
data_KSc2Au
_chemical_formula_sum 'K1 Sc2 Au1'
_cell_length_a 3.432
_cell_length_b 3.432
_cell_length_c 9.294
_cell_angle_alpha 90.06
_cell_angle_beta 90.00
_cell_angle_gamma 90.00
_symmetry_space_group_name_H-M 'P 1'
_symmetry_Int_Tables_number 1
loop_
_symmetry_equiv_pos_as_xyz
'x,y,z'
loop_
_atom_site_label
_atom_site_type_symbol
_atom_site_fract_x
_atom_site_fract_y
_atom_site_fract_z
Sc1 Sc 0.000 0.999 0.070
Sc2 Sc 0.500 0.500 0.294
Au1 Au 0.000 0.000 0.434
K1 K 0.500 0.501 0.702
# DFT total energy: -26.716 eV/atom
# Space group: Pm (6)
# Calculated formation energy: -0.2262 eV/atom

3.
# LiCe2Os | Alexandria | meta-GGA SCAN | single point on PBEsol structure
data_LiCe2Os
_chemical_formula_sum 'Li1 Ce2 Os1'
_cell_length_a 4.885
_cell_length_b 4.885
_cell_length_c 4.885
_cell_angle_alpha 60.00
_cell_angle_beta 60.00
_cell_angle_gamma 60.00
_symmetry_space_group_name_H-M 'P 1'
_symmetry_Int_Tables_number 1
loop_
_symmetry_equiv_pos_as_xyz
'x,y,z'
loop_
_atom_site_label
_atom_site_type_symbol
_atom_site_fract_x
_atom_site_fract_y
_atom_site_fract_z
Ce1 Ce 0.250 0.250 0.250
Ce2 Ce 0.750 0.750 0.750
Li1 Li 0.000 0.000 0.000
Os1 Os 0.500 0.500 0.500
# DFT total energy: -40.967 eV/atom
# Space group: Fm-3m (225)
# Calculated formation energy: -0.1172 eV/atom

- What is the calculated formation energy in the third record?
  -0.1172 eV/atom